The following is a DFT calculation (PBE) of ScSb3 after structural relaxation.

## Properties
Total DFT energy (no corrections) in eV per atom: -4.8330
Uncorrected formation energy in meV/atom: -158

The structure in extended XYZ format:
```
4
Lattice="5.9422 0.0135 0.0413 -2.6395 5.3238 0.0413 -2.6395 -4.2656 3.1858" Properties=species:S:1:pos:R:3 pbc="T T T"
Sb -2.6395 0.5291 1.6136
Sb 1.6514 2.6687 0.0413
Sb 0.0000 0.0000 0.0000
Sc 1.6514 -2.1260 1.6136
```